Compound: AgHgAu2
Source: the Alexandria database
Functional: PBEsol
Structure: optimized geometry

Cell and atoms, written as CIF:
```
data_AgHgAu2
_space_group_name_H-M_alt 'C 1 m 1'
_space_group_IT_number 8
_cell_length_a 9.574
_cell_length_b 2.982
_cell_length_c 5.040
_cell_angle_alpha 90.00
_cell_angle_beta 100.46
_cell_angle_gamma 90.00
loop_
_space_group_symop_operation_xyz
'x,y,z'
'x,-y,z'
'x+1/2,y+1/2,z'
'x+1/2,-y+1/2,z'
loop_
_atom_site_label
_atom_site_fract_x
_atom_site_fract_y
_atom_site_fract_z
Ag1 0.000 0.000 0.000
Hg1 0.253 0.500 0.256
Au1 0.005 0.500 0.509
Au2 0.253 0.000 0.758
```

- ΔE_f: 0.0 eV/f.u.
- Calculated density: 16.48 g/cm3
- E: -23.5 eV per cell